# KRb4Ag3Br12 | Alexandria via LeMat-Bulk | PBE | optimized geometry
data_KRb4Ag3Br12
_cell_length_a 11.190
_cell_length_b 11.190
_cell_length_c 11.190
_cell_angle_alpha 90.00
_cell_angle_beta 90.00
_cell_angle_gamma 90.00
_space_group_name_H-M_alt 'I m -3 m'
_space_group_IT_number 229
_space_group_name_Hall '-I 4 2 3'
loop_
_atom_site_label
_atom_site_fract_x
_atom_site_fract_y
_atom_site_fract_z
K1 0.000 0.000 0.000
Rb1 0.250 0.250 0.250
Ag1 0.000 0.000 0.500
Br1 0.000 0.000 0.272
Br2 0.000 0.250 0.500
# calculated volume: 35.0 Å³ per atom
# spin magnetization: 0.0 Bohr magnetons per cell
# energy relative to the elements, uncorrected: -0.948 eV per atom